A plane-wave DFT calculation with PBE was carried out for a relaxed DyAg2Te3 crystal.

## Properties
offset from the most stable computed form: 29 meV/atom
E_form (uncorrected): -0.55 eV/atom

The structure in POSCAR format:
```
DyAg2Te3
1.0
4.279 0.000 0.000
0.000 7.930 0.545
0.000 -2.592 10.947
Dy Ag Te
2 4 6
direct
0.250 0.775 0.296 Dy
0.750 0.225 0.704 Dy
0.250 0.414 0.917 Ag
0.750 0.586 0.083 Ag
0.750 0.062 0.417 Ag
0.250 0.938 0.583 Ag
0.750 0.948 0.166 Te
0.250 0.052 0.834 Te
0.750 0.589 0.829 Te
0.250 0.411 0.171 Te
0.250 0.281 0.505 Te
0.750 0.719 0.495 Te
```


A plane-wave DFT calculation with PBE was carried out for a relaxed Dy2AgTe4 crystal.

## Properties
E_form (uncorrected): -0.90 eV/atom

The structure in POSCAR format:
```
Dy2AgTe4
1.0
-3.476 -0.918 6.801
5.561 -0.765 2.739
1.276 8.806 -0.132
Dy Ag Te
4 2 8
direct
0.816 0.750 0.118 Dy
0.184 0.250 0.882 Dy
0.254 0.250 0.436 Dy
0.746 0.750 0.564 Dy
0.246 0.750 0.155 Ag
0.754 0.250 0.845 Ag
0.545 0.494 0.272 Te
0.045 0.750 0.867 Te
0.955 0.250 0.133 Te
0.545 0.006 0.272 Te
0.915 0.250 0.585 Te
0.455 0.994 0.728 Te
0.455 0.506 0.728 Te
0.085 0.750 0.415 Te
```


A plane-wave DFT calculation with PBE was carried out for a relaxed DyAgTe2 crystal.

## Properties
E_form (uncorrected): -0.78 eV/atom

The structure in POSCAR format:
```
DyAgTe2
1.0
4.270 0.000 0.000
2.135 3.698 0.000
2.135 1.233 7.371
Dy Ag Te
1 1 2
direct
0.501 0.501 0.497 Dy
0.665 0.665 0.004 Ag
0.080 0.080 0.759 Te
0.253 0.253 0.240 Te
```


A plane-wave DFT calculation with PBE was carried out for a relaxed DyAg2Te3 crystal.

## Properties
offset from the most stable computed form: 0 meV/atom
E_form (uncorrected): -0.58 eV/atom

The structure in POSCAR format:
```
DyAg2Te3
1.0
-1.016 -3.285 2.552
6.565 1.094 4.021
-5.598 8.412 5.009
Dy Ag Te
2 4 6
direct
0.349 0.953 0.698 Dy
0.651 0.047 0.302 Dy
0.294 0.559 0.588 Ag
0.706 0.441 0.412 Ag
0.957 0.841 0.915 Ag
0.043 0.159 0.085 Ag
0.246 0.212 0.491 Te
0.086 0.825 0.173 Te
0.419 0.627 0.838 Te
0.754 0.788 0.509 Te
0.581 0.373 0.162 Te
0.914 0.175 0.827 Te
```


A plane-wave DFT calculation with PBE was carried out for a relaxed Dy3Ag5Te12 crystal.

## Properties
E_form (uncorrected): -0.38 eV/atom

The structure in POSCAR format:
```
Dy3Ag5Te12
1.0
14.920 0.000 0.000
-4.973 14.066 0.000
-4.973 -7.033 12.182
Dy Ag Te
12 20 48
direct
0.750 0.375 0.125 Dy
0.875 0.750 0.125 Dy
0.375 0.750 0.625 Dy
0.250 0.125 0.375 Dy
0.875 0.125 0.250 Dy
0.375 0.625 0.250 Dy
0.625 0.375 0.750 Dy
0.125 0.875 0.750 Dy
0.750 0.875 0.625 Dy
0.625 0.250 0.375 Dy
0.125 0.250 0.875 Dy
0.250 0.625 0.875 Dy
0.125 0.375 0.250 Ag
0.000 0.500 0.000 Ag
0.000 0.000 0.000 Ag
0.375 0.250 0.125 Ag
0.500 0.000 0.500 Ag
0.500 0.500 0.000 Ag
0.125 0.750 0.375 Ag
0.750 0.125 0.875 Ag
0.750 0.625 0.375 Ag
0.375 0.125 0.750 Ag
0.625 0.875 0.250 Ag
0.500 0.500 0.500 Ag
0.500 0.000 0.000 Ag
0.000 0.000 0.500 Ag
0.250 0.375 0.625 Ag
0.250 0.875 0.125 Ag
0.000 0.500 0.500 Ag
0.875 0.250 0.625 Ag
0.625 0.750 0.875 Ag
0.875 0.625 0.750 Ag
0.720 0.134 0.049 Te
0.330 0.549 0.415 Te
0.951 0.366 0.280 Te
0.549 0.220 0.134 Te
0.585 0.720 0.670 Te
0.951 0.585 0.170 Te
0.330 0.780 0.415 Te
0.085 0.915 0.134 Te
0.585 0.951 0.670 Te
0.720 0.585 0.170 Te
0.780 0.451 0.366 Te
0.830 0.915 0.049 Te
0.134 0.720 0.549 Te
0.366 0.415 0.085 Te
0.085 0.915 0.366 Te
0.415 0.134 0.585 Te
0.085 0.170 0.220 Te
0.451 0.670 0.085 Te
0.830 0.915 0.280 Te
0.134 0.415 0.085 Te
0.366 0.951 0.780 Te
0.585 0.634 0.415 Te
0.915 0.830 0.549 Te
0.780 0.330 0.915 Te
0.415 0.366 0.585 Te
0.085 0.170 0.451 Te
0.220 0.670 0.085 Te
0.170 0.085 0.720 Te
0.634 0.049 0.220 Te
0.866 0.585 0.915 Te
0.549 0.330 0.915 Te
0.585 0.866 0.415 Te
0.915 0.830 0.780 Te
0.915 0.085 0.634 Te
0.866 0.280 0.451 Te
0.170 0.085 0.951 Te
0.634 0.585 0.915 Te
0.415 0.049 0.330 Te
0.280 0.415 0.830 Te
0.220 0.549 0.634 Te
0.915 0.085 0.866 Te
0.670 0.220 0.585 Te
0.451 0.780 0.866 Te
0.049 0.415 0.830 Te
0.415 0.280 0.330 Te
0.049 0.634 0.720 Te
0.670 0.451 0.585 Te
0.280 0.866 0.951 Te
```


A plane-wave DFT calculation with PBE was carried out for a relaxed Dy3TlAg2Te6 crystal.

## Properties
E_form (uncorrected): -0.91 eV/atom

The structure in POSCAR format:
```
Dy3TlAg2Te6
1.0
4.507 0.000 0.000
0.000 9.379 -0.363
-2.253 -3.476 10.222
Dy Tl Ag Te
3 1 2 6
direct
0.500 0.500 0.000 Dy
0.837 0.196 0.673 Dy
0.163 0.804 0.327 Dy
0.500 0.000 0.000 Tl
0.771 0.800 0.542 Ag
0.229 0.200 0.458 Ag
0.332 0.950 0.664 Te
0.651 0.565 0.302 Te
0.668 0.050 0.336 Te
0.985 0.265 0.969 Te
0.015 0.735 0.031 Te
0.349 0.435 0.698 Te
```


A plane-wave DFT calculation with PBE was carried out for a relaxed Dy2TlAgTe4 crystal.

## Properties
E_form (uncorrected): -0.96 eV/atom

The structure in POSCAR format:
```
Dy2TlAgTe4
1.0
-1.049 -3.353 2.683
7.683 1.038 0.660
-2.388 10.177 11.785
Dy Tl Ag Te
4 2 2 8
direct
0.370 0.740 0.571 Dy
0.630 0.260 0.071 Dy
0.630 0.260 0.429 Dy
0.370 0.740 0.929 Dy
0.130 0.260 0.750 Tl
0.870 0.740 0.250 Tl
0.841 0.683 0.750 Ag
0.159 0.317 0.250 Ag
0.269 0.539 0.106 Te
0.731 0.461 0.606 Te
0.731 0.461 0.894 Te
0.269 0.539 0.394 Te
0.000 0.000 0.500 Te
0.000 0.000 0.000 Te
0.455 0.911 0.750 Te
0.545 0.089 0.250 Te
```


A plane-wave DFT calculation with PBE was carried out for a relaxed DyTlAgTe3 crystal.

## Properties
E_form (uncorrected): -0.68 eV/atom

The structure in POSCAR format:
```
DyTlAgTe3
1.0
4.247 0.000 0.000
-2.123 7.810 0.000
0.000 0.000 11.451
Dy Tl Ag Te
2 2 2 6
direct
0.000 0.000 0.500 Dy
0.000 0.000 0.000 Dy
0.238 0.477 0.250 Tl
0.762 0.523 0.750 Tl
0.464 0.927 0.750 Ag
0.536 0.073 0.250 Ag
0.638 0.277 0.049 Te
0.362 0.723 0.951 Te
0.362 0.723 0.549 Te
0.638 0.277 0.451 Te
0.081 0.163 0.750 Te
0.919 0.837 0.250 Te
```


A plane-wave DFT calculation with PBE was carried out for a relaxed Dy3Tl3AgTe8 crystal.

## Properties
E_form (uncorrected): -0.75 eV/atom

The structure in POSCAR format:
```
Dy3Tl3AgTe8
1.0
8.812 0.135 -0.003
-4.284 7.429 -0.032
-0.087 -4.971 8.116
Dy Tl Ag Te
3 3 1 8
direct
0.500 0.000 0.500 Dy
0.500 0.500 0.500 Dy
0.000 0.500 0.500 Dy
0.000 0.000 0.000 Tl
0.000 0.500 0.000 Tl
0.500 0.500 0.000 Tl
0.000 0.000 0.500 Ag
0.257 0.519 0.281 Te
0.743 0.481 0.719 Te
0.779 0.563 0.303 Te
0.221 0.437 0.697 Te
0.779 0.018 0.303 Te
0.221 0.982 0.697 Te
0.336 0.038 0.241 Te
0.664 0.962 0.759 Te
```


A plane-wave DFT calculation with PBE was carried out for a relaxed Dy3Tl4AgTe8 crystal.

## Properties
E_form (uncorrected): -0.77 eV/atom

The structure in POSCAR format:
```
Dy3Tl4AgTe8
1.0
8.872 0.000 0.000
0.000 9.415 0.364
-4.436 -4.435 6.284
Dy Tl Ag Te
3 4 1 8
direct
0.500 0.500 0.000 Dy
0.500 0.500 0.500 Dy
0.000 0.500 0.500 Dy
0.500 0.000 0.000 Tl
0.500 0.000 0.500 Tl
0.000 0.000 0.000 Tl
0.000 0.000 0.500 Tl
0.000 0.500 0.000 Ag
0.238 0.716 0.978 Te
0.238 0.716 0.476 Te
0.260 0.281 0.521 Te
0.741 0.716 0.978 Te
0.259 0.284 0.022 Te
0.740 0.719 0.479 Te
0.762 0.284 0.524 Te
0.762 0.284 0.022 Te
```


A plane-wave DFT calculation with PBE was carried out for a relaxed Dy2TmAg3Te6 crystal.

## Properties
E_form (uncorrected): -0.83 eV/atom

The structure in POSCAR format:
```
Dy2TmAg3Te6
1.0
4.366 0.000 0.000
0.000 8.450 0.229
-2.183 -2.562 9.568
Dy Tm Ag Te
2 1 3 6
direct
0.827 0.694 0.653 Dy
0.173 0.306 0.347 Dy
0.500 0.000 0.000 Tm
0.500 0.500 0.000 Ag
0.796 0.216 0.592 Ag
0.204 0.784 0.408 Ag
0.342 0.962 0.684 Te
0.664 0.566 0.328 Te
0.658 0.038 0.316 Te
0.013 0.259 0.027 Te
0.987 0.741 0.973 Te
0.336 0.434 0.672 Te
```


A plane-wave DFT calculation with PBE was carried out for a relaxed DyTmAg2Te4 crystal.

## Properties
E_form (uncorrected): -0.82 eV/atom

The structure in POSCAR format:
```
DyTmAg2Te4
1.0
4.387 0.000 0.000
0.000 7.590 0.141
0.000 -2.635 6.963
Dy Tm Ag Te
1 1 2 4
direct
0.500 0.500 0.000 Dy
0.000 0.000 0.000 Tm
0.500 0.000 0.500 Ag
0.000 0.500 0.500 Ag
0.500 0.247 0.251 Te
0.500 0.753 0.749 Te
0.000 0.248 0.747 Te
0.000 0.752 0.253 Te
```


A plane-wave DFT calculation with PBE was carried out for a relaxed DyTm2Ag3Te6 crystal.

## Properties
E_form (uncorrected): -0.82 eV/atom

The structure in POSCAR format:
```
DyTm2Ag3Te6
1.0
-4.726 -1.505 -5.734
3.103 -5.681 3.946
-4.887 2.513 5.036
Dy Tm Ag Te
1 2 3 6
direct
0.000 0.000 0.000 Dy
0.333 0.667 0.000 Tm
0.667 0.333 0.000 Tm
0.166 0.834 0.500 Ag
0.834 0.166 0.500 Ag
0.500 0.500 0.500 Ag
0.916 0.580 0.749 Te
0.747 0.747 0.252 Te
0.084 0.420 0.251 Te
0.580 0.916 0.749 Te
0.253 0.253 0.748 Te
0.420 0.084 0.251 Te
```


A plane-wave DFT calculation with PBE was carried out for a relaxed Dy2YAg3Te6 crystal.

## Properties
E_form (uncorrected): -0.85 eV/atom

The structure in POSCAR format:
```
Dy2YAg3Te6
1.0
-3.010 2.844 1.438
-5.144 -2.250 -6.318
-0.953 -7.723 6.599
Dy Y Ag Te
2 1 3 6
direct
0.826 0.693 0.652 Dy
0.174 0.307 0.348 Dy
0.500 0.000 0.000 Y
0.500 0.500 0.000 Ag
0.795 0.219 0.590 Ag
0.205 0.781 0.410 Ag
0.341 0.961 0.683 Te
0.664 0.567 0.329 Te
0.659 0.039 0.317 Te
0.015 0.263 0.030 Te
0.985 0.737 0.970 Te
0.336 0.433 0.671 Te
```


A plane-wave DFT calculation with PBE was carried out for a relaxed DyTh2Ag6 crystal.

## Properties
energy relative to the elements: -1.58 eV per formula unit

The structure in POSCAR format:
```
DyTh2Ag6
1.0
-1.168 1.923 -2.532
3.953 -4.914 -5.556
-7.889 -1.761 2.302
Dy Th Ag
1 2 6
direct
0.000 0.000 0.000 Dy
0.000 0.333 0.667 Th
0.000 0.667 0.333 Th
0.500 0.331 0.331 Ag
0.500 0.669 0.669 Ag
0.500 0.000 0.669 Ag
0.500 0.669 0.000 Ag
0.500 0.331 0.000 Ag
0.500 0.000 0.331 Ag
```


A plane-wave DFT calculation with PBE was carried out for a relaxed Dy3ThAg2 crystal.

## Properties
energy relative to the elements: -1.22 eV per formula unit

The structure in POSCAR format:
```
Dy3ThAg2
1.0
-1.620 -1.710 2.755
0.951 -3.194 -1.424
10.355 0.288 6.267
Dy Th Ag
3 1 2
direct
0.000 0.000 0.000 Dy
0.000 0.000 0.698 Dy
0.000 0.000 0.302 Dy
0.500 0.500 0.500 Th
0.500 0.500 0.850 Ag
0.500 0.500 0.150 Ag
```


A plane-wave DFT calculation with PBE was carried out for a relaxed Dy2ThAg crystal.

## Properties
offset from the most stable computed form: 185 meV/atom
energy relative to the elements: 0.16 eV per formula unit

The structure in POSCAR format:
```
Dy2ThAg
1.0
3.589 0.000 0.000
0.000 5.563 0.000
0.000 0.000 5.563
Ag Th Dy
1 1 2
direct
0.500 0.000 0.000 Ag
0.500 0.500 0.500 Th
0.000 0.000 0.500 Dy
0.000 0.500 0.000 Dy
```


A plane-wave DFT calculation with PBE was carried out for a relaxed DyTh2Ag crystal.

## Properties
offset from the most stable computed form: 132 meV/atom
energy relative to the elements: 0.64 eV per formula unit

The structure in POSCAR format:
```
DyTh2Ag
1.0
5.446 0.000 0.000
2.723 4.717 0.000
2.723 1.572 4.446
Ag Th Dy
1 2 1
direct
0.500 0.500 0.500 Ag
0.750 0.750 0.750 Th
0.250 0.250 0.250 Th
0.000 0.000 0.000 Dy
```


A plane-wave DFT calculation with PBE was carried out for a relaxed Dy2ThAg crystal.

## Properties
offset from the most stable computed form: 128 meV/atom
energy relative to the elements: -0.07 eV per formula unit

The structure in POSCAR format:
```
Dy2ThAg
1.0
3.565 0.000 0.000
1.782 3.087 0.000
1.782 1.029 10.390
Ag Th Dy
1 1 2
direct
0.000 0.000 0.000 Ag
0.500 0.500 0.500 Th
0.258 0.258 0.226 Dy
0.742 0.742 0.774 Dy
```